No. 1
Hf2FeP2 after structural relaxation. Source: the Alexandria database, functional GGA-PBE.

Results
**Total magnetization**: 1.7 μB per formula unit
**ρ**: 8.57 g cm⁻³

Cell lengths 5.020, 5.020, 7.304 Å; angles 90.00, 90.00, 90.00 degrees
Space group I4/mmm (No. 139)
One atom of each set of equivalent atoms:
Hf1 0.000 0.500 0.250 [4 per cell]
Fe1 0.000 0.000 0.000 [2 per cell]
P1 0.000 0.000 0.311 [4 per cell]

=====

No. 2
Mg8Al2Hg after structural relaxation. Source: the Alexandria database, functional GGA-PBE.

Results
**Total magnetization**: 0.0 μB per formula unit
**ρ**: 3.21 g cm⁻³

Cell lengths 16.021, 4.324, 6.951 Å; angles 90.00, 105.30, 90.00 degrees
Space group C2/m (No. 12)
One atom of each set of equivalent atoms:
Mg1 0.047 0.000 0.233 [4 per cell]
Mg2 0.097 0.500 0.957 [4 per cell]
Mg3 0.140 0.000 0.691 [4 per cell]
Mg4 0.184 0.500 0.413 [4 per cell]
Al1 0.228 0.000 0.129 [4 per cell]
Hg1 0.000 0.500 0.500 [2 per cell]

=====

No. 3
Tb2ScPb after structural relaxation. Source: the Alexandria database, functional GGA-PBE.

Results
**Total magnetization**: 0.0 μB per formula unit
**ρ**: 8.74 g cm⁻³

Cell lengths 4.744, 4.744, 4.811 Å; angles 90.00, 90.00, 90.00 degrees
Space group P4/mmm (No. 123)
One atom of each set of equivalent atoms:
Tb1 0.000 0.500 0.000 [2 per cell]
Sc1 0.000 0.000 0.500 [1 per cell]
Pb1 0.500 0.500 0.500 [1 per cell]

=====

No. 4
NaScTeN2 after structural relaxation. Source: the Alexandria database, functional GGA-PBE.

Results
**Uncorrected formation energy**: 0.35 eV/atom
**Total magnetization**: 3.7 μB per formula unit
**ρ**: 3.33 g cm⁻³

Cell lengths 4.387, 4.387, 5.785 Å; angles 90.00, 90.00, 90.00 degrees
Space group P4/mmm (No. 123)
One atom of each set of equivalent atoms:
Na1 0.000 0.000 0.000 [1 per cell]
Sc1 0.500 0.500 0.500 [1 per cell]
Te1 0.500 0.500 0.000 [1 per cell]
N1 0.000 0.500 0.500 [2 per cell]

=====

No. 5
HIr2Pb after structural relaxation. Source: the Alexandria database, functional GGA-PBE.

Results
**Total magnetization**: 0.0 μB per formula unit
**ρ**: 16.21 g cm⁻³

Cell lengths 6.239, 6.239, 6.239 Å; angles 90.00, 90.00, 90.00 degrees
Space group Fm-3m (No. 225)
One atom of each set of equivalent atoms:
H1 0.000 0.000 0.000 [4 per cell]
Ir1 0.250 0.250 0.250 [8 per cell]
Pb1 0.000 0.000 0.500 [4 per cell]

=====

No. 6
In2Ga3Sn after structural relaxation. Source: the Alexandria database, functional GGA-PBE.

Results
**Total magnetization**: 0.0 μB per formula unit
**ρ**: 6.57 g cm⁻³

Cell lengths 5.828, 9.710, 10.351 Å; angles 90.00, 105.83, 90.00 degrees
Space group C2/c (No. 15)
One atom of each set of equivalent atoms:
In1 0.079 0.115 0.406 [8 per cell]
Ga1 0.000 0.181 0.750 [4 per cell]
Ga2 0.104 0.367 0.967 [8 per cell]
Sn1 0.000 0.418 0.250 [4 per cell]

=====

No. 7
Li3Ho3HfSe8 after structural relaxation. Source: the Alexandria database, functional GGA-PBE.

Results
**Uncorrected formation energy**: -1.62 eV/atom
**Total magnetization**: 0.0 μB per formula unit
**ρ**: 6.07 g cm⁻³

Cell lengths 8.0263, 8.0263, 19.5013 Å; angles 90.00, 90.00, 120.00 degrees
Space group R-3m (No. 166, hexagonal axes)
One atom of each set of equivalent atoms:
Li1 0.0000 0.5000 0.0000 [9 per cell]
Ho1 0.0000 0.5000 0.5000 [9 per cell]
Hf1 0.0000 0.0000 0.5000 [3 per cell]
Se1 0.0000 0.0000 0.2511 [6 per cell]
Se2 0.0163 0.5082 0.2477 [18 per cell]

=====

No. 8
DyTiCu2 after structural relaxation. Source: the Alexandria database, functional GGA-PBE.

Results
**Total magnetization**: 1.3 μB per formula unit
**ρ**: 7.92 g cm⁻³

Cell lengths 4.625, 4.625, 3.310 Å; angles 90.00, 90.00, 90.00 degrees
Space group P4/mmm (No. 123)
One atom of each set of equivalent atoms:
Dy1 0.000 0.000 0.000 [1 per cell]
Ti1 0.500 0.500 0.000 [1 per cell]
Cu1 0.000 0.500 0.500 [2 per cell]

=====

No. 9
Tb4Ho8Er3 after structural relaxation. Source: the Alexandria database, functional GGA-PBE.

Results
**Total magnetization**: 0.0 μB per formula unit
**ρ**: 8.39 g cm⁻³

Cell lengths 13.241, 12.730, 6.674 Å; angles 90.00, 120.16, 90.00 degrees
Space group C2/m (No. 12)
One atom of each set of equivalent atoms:
Tb1 0.000 0.000 0.000 [2 per cell]
Tb2 0.000 0.000 0.500 [2 per cell]
Tb3 0.250 0.250 0.000 [4 per cell]
Ho1 0.000 0.253 0.000 [4 per cell]
Ho2 0.000 0.360 0.500 [4 per cell]
Ho3 0.231 0.500 0.966 [4 per cell]
Ho4 0.234 0.500 0.490 [4 per cell]
Er1 0.000 0.500 0.000 [2 per cell]
Er2 0.250 0.250 0.500 [4 per cell]

=====

Number 1: total energy -8.24 eV per atom. Number 2: total energy -1.91 eV per atom. Number 3: total energy -5.10 eV per atom. Number 4: total energy -5.14 eV per atom. Number 5: total energy -5.21 eV per atom. Number 6: total energy -3.05 eV per atom. Number 7: total energy -5.44 eV per atom. Number 8: total energy -5.21 eV per atom. Number 9: total energy -4.19 eV per atom.